Arrangement 1

# AcGdNO PBE optimized geometry
data_AcGdNO
_chemical_formula_sum 'Ac2 Gd2 N2 O2'
_cell_length_a 4.940
_cell_length_b 4.940
_cell_length_c 6.187
_cell_angle_alpha 90.00
_cell_angle_beta 90.00
_cell_angle_gamma 90.00
_space_group_name_H-M_alt 'P 1'
_space_group_IT_number 1
loop_
_space_group_symop_operation_xyz
'x,y,z'
loop_
_atom_site_label
_atom_site_type_symbol
_atom_site_fract_x
_atom_site_fract_y
_atom_site_fract_z
_atom_site_occupancy
N1 N 0.750 0.750 0.377 1
N2 N 0.250 0.250 0.623 1
Gd1 Gd 0.250 0.250 0.971 1
Gd2 Gd 0.750 0.750 0.029 1
O1 O 0.750 0.250 0.000 1
O2 O 0.250 0.750 0.000 1
Ac1 Ac 0.750 0.250 0.500 1
Ac2 Ac 0.250 0.750 0.500 1
# Size of the total moment, μB/f.u.: 0.0


Arrangement 2

# AcGdNO PBE optimized geometry
data_AcGdNO
_chemical_formula_sum 'Ac2 Gd2 N2 O2'
_cell_length_a 4.566
_cell_length_b 4.566
_cell_length_c 9.146
_cell_angle_alpha 90.00
_cell_angle_beta 90.00
_cell_angle_gamma 89.99
_space_group_name_H-M_alt 'P 1'
_space_group_IT_number 1
loop_
_space_group_symop_operation_xyz
'x,y,z'
loop_
_atom_site_label
_atom_site_type_symbol
_atom_site_fract_x
_atom_site_fract_y
_atom_site_fract_z
_atom_site_occupancy
N1 N 0.750 0.750 0.443 1
N2 N 0.250 0.250 0.557 1
O1 O 0.250 0.750 0.000 1
O2 O 0.750 0.250 0.000 1
Gd1 Gd 0.250 0.750 0.500 1
Gd2 Gd 0.750 0.250 0.500 1
Ac1 Ac 0.750 0.750 0.883 1
Ac2 Ac 0.250 0.250 0.117 1
# Size of the total moment, μB/f.u.: 0.0


The energy of each structure relative to the most stable one, in meV per atom, is as follows: arrangement 1 0; arrangement 2 113.